Record 1
A PBEsol-optimized structure of MnNi7O8, computed with SCAN.

POSCAR file:
```
MnNi7O8
1.0
0.0000 4.1256 4.1256
4.1256 0.0000 4.1256
4.1256 4.1256 0.0000
Mn Ni O
1 7 8
Direct
0.0000 0.0000 0.0000
0.0000 0.0000 0.5000
0.0000 0.5000 0.0000
0.0000 0.5000 0.5000
0.5000 0.0000 0.0000
0.5000 0.0000 0.5000
0.5000 0.5000 0.0000
0.5000 0.5000 0.5000
0.2500 0.2500 0.2500
0.2525 0.2525 0.7475
0.2525 0.7475 0.2525
0.2525 0.7475 0.7475
0.7475 0.2525 0.2525
0.7475 0.2525 0.7475
0.7475 0.7475 0.2525
0.7500 0.7500 0.7500
```

Output
E_tot in eV/atom: -12.6305
SG: Fm-3m

***

Record 2
A PBEsol-optimized structure of ZnFeTc2, computed with SCAN.

POSCAR file:
```
ZnFeTc2
1.0
1.3214 0.7629 8.5927
-1.3214 0.7629 8.5927
0.0000 -1.5259 8.5927
Zn Fe Tc
1 1 2
Direct
0.0000 0.0000 0.0000
0.5000 0.5000 0.5000
0.2452 0.2452 0.2452
0.7548 0.7548 0.7548
```

Output
ΔE_f in eV/atom: 0.115
E_tot in eV/atom: -25.3265
SG: R-3m

***

Please write out number 2 again, unchanged.
A PBEsol-optimized structure of ZnFeTc2, computed with SCAN.

POSCAR file:
```
ZnFeTc2
1.0
1.3214 0.7629 8.5927
-1.3214 0.7629 8.5927
0.0000 -1.5259 8.5927
Zn Fe Tc
1 1 2
Direct
0.0000 0.0000 0.0000
0.5000 0.5000 0.5000
0.2452 0.2452 0.2452
0.7548 0.7548 0.7548
```

Output
ΔE_f in eV/atom: 0.115
E_tot in eV/atom: -25.3265
SG: R-3m